DFT (PBE) results for a relaxed LiCoPt2 crystal.

Calculated values
Energy of formation, kJ/mol of formula units: -92

Cell: 4.537 4.537 4.766 Å, 80.98 80.98 34.91°
Element x y z (fractional)
Li: 0.250 0.250 0.250
Pt: 0.004 0.004 0.998
Pt: 0.496 0.496 0.502
Co: 0.750 0.750 0.750